Entry 1:
Compound: Pm2Nd2SmHo
Source: Alexandria
Functional: PBE-GGA
Structure: optimized geometry

The space group is Pnnm (No. 58) and the conventional cell measures 6.750, 18.002 and 3.427 Å, with angles of 90.00, 90.00 and 90.00 degrees. The distinct sites, in fractional coordinates, are Pm at (0.232, 0.148, 0.000), Nd at (0.237, 0.319, 0.500), Sm at (0.000, 0.000, 0.500) and Ho at (0.000, 0.500, 0.500).

Its size of the total moment is 0.0 Bohr magnetons per cell. The density of states at the Fermi level is 1.6880 states/eV/atom. The calculation puts the volume at 34.7 A^3/atom. The total energy comes out at -26.853 eV/f.u. The value obtained for the energy of formation is 0.25 eV/atom.

---

Entry 2:
Compound: Pm2NdSm4Ho2
Source: Alexandria
Functional: PBE-GGA
Structure: optimized geometry

The space group is P-1 (No. 2) and the conventional cell measures 6.086, 6.713 and 8.703 Å, with angles of 80.04, 70.65 and 64.84 degrees. The distinct sites, in fractional coordinates, are Pm at (0.230, 0.327, 0.345), Nd at (0.500, 0.000, 0.000), Sm at (0.126, 0.130, 0.755), Sm at (0.235, 0.583, 0.883) and Ho at (0.318, 0.770, 0.445).

Its size of the total moment is 0.0 Bohr magnetons per cell. The density of states at the Fermi level is 1.5129 states/eV/atom. The calculation puts the volume at 33.7 A^3/atom. The total energy comes out at -41.675 eV/f.u. The value obtained for the energy of formation is 0.07 eV/atom.

---

Entry 3:
Compound: Pm5Nd2SmHo
Source: Alexandria
Functional: PBE-GGA
Structure: optimized geometry

The space group is I4/mcm (No. 140) and the conventional cell measures 8.769, 8.769 and 16.150 Å, with angles of 90.00, 90.00 and 90.00 degrees. The distinct sites, in fractional coordinates, are Pm at (0.000, 0.000, 0.000), Pm at (0.212, 0.288, 0.140), Nd at (0.119, 0.381, 0.500), Sm at (0.000, 0.000, 0.250) and Ho at (0.000, 0.500, 0.250).

Its size of the total moment is 0.0 Bohr magnetons per cell. The density of states at the Fermi level is 1.5101 states/eV/atom. The calculation puts the volume at 34.5 A^3/atom. The total energy comes out at -40.141 eV/f.u. The value obtained for the energy of formation is 0.27 eV/atom.

---

Entry 4:
Compound: SrPmNdHo
Source: Alexandria
Functional: PBE-GGA
Structure: optimized geometry

The space group is F-43m (No. 216) and the conventional cell measures 8.406, 8.406 and 8.406 Å, with angles of 90.00, 90.00 and 90.00 degrees. The distinct sites, in fractional coordinates, are Sr at (0.000, 0.000, 0.000), Pm at (0.250, 0.250, 0.250), Nd at (0.250, 0.250, 0.750) and Ho at (0.000, 0.000, 0.500).

Its size of the total moment is 0.0 Bohr magnetons per cell. The density of states at the Fermi level is 1.6531 states/eV/atom. The calculation puts the volume at 37.1 A^3/atom. The total energy comes out at -14.901 eV/f.u. The value obtained for the energy of formation is 0.22 eV/atom.

---

Entry 5:
Compound: TbPm3Nd6Ho2
Source: Alexandria
Functional: PBE-GGA
Structure: optimized geometry

The space group is C2/m (No. 12) and the conventional cell measures 6.312, 10.936 and 12.003 Å, with angles of 90.00, 100.10 and 90.00 degrees. The distinct sites, in fractional coordinates, are Tb at (0.000, 0.000, 0.000), Pm at (0.000, 0.167, 0.500), Pm at (0.000, 0.500, 0.500), Nd at (0.249, 0.500, 0.247), Nd at (0.250, 0.167, 0.247) and Ho at (0.000, 0.333, 0.000).

Its size of the total moment is 0.0 Bohr magnetons per cell. The density of states at the Fermi level is 1.3210 states/eV/atom. The calculation puts the volume at 34.0 A^3/atom. The total energy comes out at -56.484 eV/f.u. The value obtained for the energy of formation is 0.01 eV/atom.

---

Entry 6:
Compound: Tb3Pm2Nd6Ho
Source: Alexandria
Functional: PBE-GGA
Structure: optimized geometry

The space group is C2/m (No. 12) and the conventional cell measures 6.304, 10.918 and 11.991 Å, with angles of 90.00, 100.08 and 90.00 degrees. The distinct sites, in fractional coordinates, are Tb at (0.000, 0.000, 0.000), Tb at (0.000, 0.334, 0.000), Pm at (0.000, 0.167, 0.500), Nd at (0.249, 0.500, 0.248), Nd at (0.250, 0.166, 0.249) and Ho at (0.000, 0.500, 0.500).

Its size of the total moment is 0.0 Bohr magnetons per cell. The density of states at the Fermi level is 1.2990 states/eV/atom. The calculation puts the volume at 33.9 A^3/atom. The total energy comes out at -56.433 eV/f.u. The value obtained for the energy of formation is 0.01 eV/atom.